1.
PaAlRe2: optimized geometry, GGA-PBE.

a b c (Å): 4.6980 4.7041 17.1365
angles (deg): 90.00 90.00 90.00
Last column: nearest neighbours and their distance in Å.
Fractional coordinates of all 16 atoms:
Al 0.0000 0.7500 0.8749  4 Re 2.44
Al 0.5000 0.7500 0.6250  4 Re 2.44
Al 0.5000 0.2500 0.3750  4 Re 2.44
Al 0.0000 0.2500 0.1251  4 Re 2.44
Re 0.2499 0.7500 0.7499  2 Re 2.35, 2 Al 2.44
Re 0.2499 0.2500 0.2501  2 Re 2.35, 2 Al 2.44
Re 0.5000 0.5000 0.5000  2 Re 2.35, 2 Al 2.44
Re 0.7501 0.7500 0.7499  2 Re 2.35, 2 Al 2.44
Re 0.0000 0.0000 0.0000  2 Re 2.35, 2 Al 2.44
Re 0.0000 0.5000 0.0000  2 Re 2.35, 2 Al 2.44
Re 0.5000 0.0000 0.5000  2 Re 2.35, 2 Al 2.44
Re 0.7501 0.2500 0.2501  2 Re 2.35, 2 Al 2.44
Pa 0.5000 0.2500 0.8775  4 Al 3.32, 8 Re 3.36-3.42
Pa 0.0000 0.2500 0.6246  4 Al 3.32, 8 Re 3.39
Pa 0.5000 0.7500 0.1225  4 Al 3.32, 8 Re 3.36-3.42
Pa 0.0000 0.7500 0.3754  4 Al 3.32, 8 Re 3.39

formation energy from the elements: 319 kJ/mol of formula units
energy above the most stable polymorph in this dataset: 911 meV per atom

=====

2.
TbHo9Tl2: optimized geometry, GGA-PBE.

a b c (Å): 4.8503 4.8503 14.9341
angles (deg): 90.00 90.00 90.00
Last column: nearest neighbours and their distance in Å.
Fractional coordinates of all 12 atoms:
Ho 0.5000 0.5000 0.0000  4 Tb 3.43, 8 Ho 3.53
Ho 0.0000 0.5000 0.1717  8 Ho 3.43-3.53, 2 Tl 3.49, 2 Tb 3.53
Ho 0.5000 0.0000 0.5000  4 Tl 3.41, 8 Ho 3.43
Ho 0.5000 0.0000 0.8283  8 Ho 3.43-3.53, 2 Tl 3.49, 2 Tb 3.53
Ho 0.5000 0.5000 0.3373  4 Tl 3.43, 8 Ho 3.43-3.46
Ho 0.5000 0.5000 0.6627  4 Tl 3.43, 8 Ho 3.43-3.46
Ho 0.0000 0.5000 0.5000  4 Tl 3.41, 8 Ho 3.43
Ho 0.5000 0.0000 0.1717  8 Ho 3.43-3.53, 2 Tl 3.49, 2 Tb 3.53
Ho 0.0000 0.5000 0.8283  8 Ho 3.43-3.53, 2 Tl 3.49, 2 Tb 3.53
Tl 0.0000 0.0000 0.6604  12 Ho 3.41-3.49
Tl 0.0000 0.0000 0.3396  12 Ho 3.41-3.49
Tb 0.0000 0.0000 0.0000  12 Ho 3.43-3.53

formation energy from the elements: -122 kJ/mol of formula units

=====

3.
CsCrTe3: optimized geometry, GGA-PBE.

a b c (Å): 7.9434 14.3580 5.7879
angles (deg): 78.62 44.52 73.94
Last column: nearest neighbours and their distance in Å.
Fractional coordinates of all 10 atoms:
Cs 0.1775 0.6451 0.2500  8 Te 3.87-4.31
Cs 0.8225 0.3549 0.7500  8 Te 3.87-4.31
Te 0.2014 0.1059 0.2395  2 Cr 2.47
Te 0.7986 0.8941 0.7605  2 Cr 2.47
Te 0.7293 0.5415 0.2500  2 Te 3.01
Te 0.2707 0.4585 0.7500  2 Te 3.01
Te 0.6927 0.1059 0.2605  2 Cr 2.47
Te 0.3073 0.8941 0.7395  2 Cr 2.47
Cr 0.5001 0.9998 0.7500  4 Te 2.47
Cr 0.4999 0.0002 0.2500  4 Te 2.47

energy relative to the elements, uncorrected: -30.4 kJ/mol of atoms

=====

4.
Dy4ErP5: optimized geometry, GGA-PBE.

a b c (Å): 5.6561 6.9276 6.9276
angles (deg): 80.41 65.91 65.91
Last column: nearest neighbours and their distance in Å.
Fractional coordinates of all 10 atoms:
Dy 0.4013 0.3996 0.7998  6 P 2.83-2.84
Dy 0.6008 0.6004 0.2002  6 P 2.83-2.84
Dy 0.2011 0.2002 0.3996  6 P 2.83-2.84
Dy 0.8010 0.7998 0.6004  6 P 2.83-2.84
P 0.5009 0.0000 0.0000  4 Dy 2.83, 2 Er 2.83
P 0.2999 0.8008 0.6016  1 Er 2.82, 5 Dy 2.83-2.84
P 0.1007 0.6016 0.1992  1 Er 2.82, 5 Dy 2.83-2.84
P 0.9015 0.3984 0.8008  1 Er 2.82, 5 Dy 2.83-2.84
P 0.7022 0.1992 0.3984  1 Er 2.82, 5 Dy 2.83-2.84
Er 0.0009 0.0000 0.0000  6 P 2.82-2.83

formation energy from the elements: -1559 kJ/mol of formula units

=====

5.
TbSmI3: optimized geometry, GGA-PBE.

a b c (Å): 4.1147 10.2420 10.7413
angles (deg): 72.48 78.96 78.41
Last column: nearest neighbours and their distance in Å.
Fractional coordinates of all 10 atoms:
Tb 0.4333 0.1721 0.9612  4 I 3.13-3.16, 1 Tb 3.33
Tb 0.5667 0.8279 0.0388  4 I 3.13-3.16, 1 Tb 3.33
I 0.0331 0.6787 0.2551  2 Tb 3.13, 1 Sm 3.18
I 0.9669 0.3213 0.7449  2 Tb 3.13, 1 Sm 3.18
I 0.7885 0.3032 0.1199  1 Sm 3.14, 2 Tb 3.16
I 0.6666 0.1716 0.4951  3 Sm 3.23-3.31
I 0.3334 0.8284 0.5049  3 Sm 3.23-3.31
I 0.2115 0.6968 0.8801  1 Sm 3.14, 2 Tb 3.16
Sm 0.1329 0.0116 0.7226  5 I 3.14-3.31
Sm 0.8671 0.9884 0.2774  5 I 3.14-3.31

energy above the most stable polymorph in this dataset: 0 meV per atom
energy relative to the elements, uncorrected: -106.8 kJ/mol of atoms

=====

6.
LiZn2Se: optimized geometry, GGA-PBE.

a b c (Å): 6.5079 6.5079 3.8812
angles (deg): 107.40 107.40 28.81
Last column: nearest neighbours and their distance in Å.
Fractional coordinates of all 4 atoms:
Zn 0.5364 0.5364 0.5365  1 Se 2.56, 4 Zn 2.67
Zn 0.9636 0.9636 0.9635  1 Se 2.56, 4 Zn 2.67
Li 0.2500 0.2500 0.2500  4 Se 2.53
Se 0.7500 0.7500 0.7500  4 Li 2.53, 2 Zn 2.56

energy above the most stable polymorph in this dataset: 0 meV per atom
energy relative to the elements, uncorrected: -39.4 kJ/mol of atoms

=====

7.
KTePO2: optimized geometry, GGA-PBE.

a b c (Å): 4.2473 4.2473 5.2346
angles (deg): 90.00 90.00 90.00
Last column: nearest neighbours and their distance in Å.
Fractional coordinates of all 5 atoms:
O 0.5000 0.0000 0.0000  2 Te 2.12
O 0.0000 0.5000 0.0000  2 Te 2.12
P 0.0000 0.0000 0.5000  2 Te 2.62
Te 0.0000 0.0000 0.0000  4 O 2.12
K 0.5000 0.5000 0.5000  4 P 3.00

energy above the most stable polymorph in this dataset: 0 meV per atom
energy relative to the elements, uncorrected: -29.3 kJ/mol of atoms

=====

8.
Er4TmAg2: optimized geometry, GGA-PBE.

a b c (Å): 5.0059 5.0059 10.1246
angles (deg): 75.69 75.69 60.00
Last column: nearest neighbours and their distance in Å.
Fractional coordinates of all 7 atoms:
Ag 0.3991 0.3991 0.8027  1 Tm 2.94, 7 Er 2.99-3.11
Ag 0.6009 0.6009 0.1973  1 Tm 2.94, 7 Er 2.99-3.11
Er 0.8950 0.8950 0.3151  3 Ag 3.11, 3 Tm 3.40
Er 0.2964 0.2964 0.1108  4 Ag 2.99-3.01
Er 0.7036 0.7036 0.8892  4 Ag 2.99-3.01
Er 0.1050 0.1050 0.6849  3 Ag 3.11, 3 Tm 3.40
Tm 0.5000 0.5000 0.5000  2 Ag 2.94

formation energy from the elements: 109 kJ/mol of formula units

=====

9.
H2RhBr: optimized geometry, GGA-PBE.

a b c (Å): 5.2793 5.2793 5.2167
angles (deg): 59.60 59.60 90.00
Last column: nearest neighbours and their distance in Å.
Fractional coordinates of all 8 atoms:
Rh 0.7500 0.2500 0.5000  4 H 1.66
Rh 0.0000 0.0000 0.0000  4 H 1.66
Br 0.5000 0.5000 0.0000  4 H 2.73
Br 0.2500 0.7500 0.5000  4 H 2.73
H 0.9561 0.6250 0.2500  2 Rh 1.66
H 0.8750 0.0439 0.7500  2 Rh 1.66
H 0.3750 0.2061 0.7500  2 Rh 1.66
H 0.7939 0.1250 0.2500  2 Rh 1.66

energy above the most stable polymorph in this dataset: 0 meV per atom

=====

10.
Th6Ir2PtS3: optimized geometry, GGA-PBE.

a b c (Å): 4.1012 8.5161 9.4389
angles (deg): 106.13 102.55 90.00
Last column: nearest neighbours and their distance in Å.
Fractional coordinates of all 12 atoms:
Th 0.3345 0.9060 0.6690  2 Ir 2.88, 1 Pt 2.92, 3 S 3.00-3.02
Th 0.3286 0.4270 0.6573  3 Ir 2.86-2.89, 3 S 3.04-3.05
Th 0.0048 0.2487 0.0095  1 Ir 2.86, 2 Pt 2.93, 3 S 2.98-3.01
Th 0.9952 0.7513 0.9905  1 Ir 2.86, 2 Pt 2.93, 3 S 2.98-3.01
Th 0.6655 0.0940 0.3310  2 Ir 2.88, 1 Pt 2.92, 3 S 3.00-3.02
Th 0.6714 0.5730 0.3427  3 Ir 2.86-2.89, 3 S 3.04-3.05
Ir 0.8334 0.6682 0.6669  6 Th 2.86-2.89
Ir 0.1666 0.3318 0.3331  6 Th 2.86-2.89
Pt 0.5000 0.0000 0.0000  6 Th 2.92-2.93
S 0.5000 0.5000 0.0000  6 Th 2.98-3.04
S 0.1653 0.8334 0.3306  6 Th 3.00-3.05
S 0.8347 0.1666 0.6694  6 Th 3.00-3.05

energy relative to the elements, uncorrected: -134.0 kJ/mol of atoms

=====

11.
Mn2CuTc: optimized geometry, GGA-PBE.

a b c (Å): 3.7597 2.5894 5.8646
angles (deg): 63.15 90.00 90.00
Last column: nearest neighbours and their distance in Å.
Fractional coordinates of all 4 atoms:
Cu 0.5000 0.7451 0.7571  6 Mn 2.57-2.66, 2 Cu 2.59, 4 Tc 2.66-2.67
Mn 0.5000 0.2418 0.2490  2 Cu 2.57-2.66, 4 Tc 2.59-2.65, 6 Mn 2.59-2.63
Mn 0.0000 0.9980 0.9988  6 Mn 2.59-2.63, 2 Tc 2.60-2.64, 4 Cu 2.61
Tc 0.0000 0.5151 0.4951  6 Mn 2.59-2.65, 2 Tc 2.59, 4 Cu 2.66-2.67

formation energy from the elements: 55 kJ/mol of formula units

=====

Sequential magnetization output: 0.0, 0.0, 0.0, 0.0, 0.0, 0.0, 1.1, 0.0, 0.0, 0.0, 0.8 μB/cell